Record 1
Computed, not measured: crystalline ErZr2 at its relaxed geometry at the GGA-PBE level of DFT.

Cell lengths 5.813, 5.813, 5.247 Å; angles 90.00, 90.00, 58.90 degrees
Atoms (fractional coordinates):
Er1 0.179 0.821 0.750
Er2 0.821 0.179 0.250
Zr1 0.166 0.482 0.250
Zr2 0.482 0.166 0.750
Zr3 0.518 0.834 0.250
Zr4 0.834 0.518 0.750

Formation enthalpy at 0 K = 0.022 eV per atom
Symmetry = Cmcm
Size of the total moment = 0.0 μB per formula unit

Record 2
Computed, not measured: crystalline DyEr4Lu2Pd2Se2 at its relaxed geometry at the GGA-PBE level of DFT.

Cell lengths 9.063, 9.063, 9.063 Å; angles 155.44, 67.43, 118.32 degrees
Atoms (fractional coordinates):
Dy1 0.000 0.000 0.000
Er1 0.109 0.747 0.362
Er2 0.385 0.747 0.638
Er3 0.467 0.589 0.878
Er4 0.711 0.589 0.122
Lu1 0.061 0.379 0.681
Lu2 0.698 0.379 0.319
Pd1 0.314 0.075 0.238
Pd2 0.837 0.075 0.762
Se1 0.341 0.341 0.000
Se2 0.743 0.243 0.500

Raw total energy = -5.465 eV/atom
Symmetry = Imm2
Size of the total moment = 0.0 μB per formula unit

Record 3
Computed, not measured: crystalline TmScPBr2 at its relaxed geometry at the GGA-PBE level of DFT.

Cell lengths 3.864, 3.864, 10.247 Å; angles 90.00, 90.00, 120.00 degrees
Atoms (fractional coordinates):
Tm1 0.000 0.000 0.000
Sc1 0.333 0.667 0.716
P1 0.667 0.333 0.851
Br1 0.000 0.000 0.549
Br2 0.333 0.667 0.179

Raw total energy = -5.602 eV/atom
Symmetry = P3m1
Size of the total moment = 0.0 μB per formula unit

Record 4
Computed, not measured: crystalline MgScCd2 at its relaxed geometry at the GGA-PBE level of DFT.

Cell lengths 4.927, 4.927, 8.566 Å; angles 90.00, 90.00, 120.00 degrees
Atoms (fractional coordinates):
Mg1 0.333 0.667 0.250
Mg2 0.667 0.333 0.750
Sc1 0.000 0.000 0.000
Sc2 0.000 0.000 0.500
Cd1 0.333 0.667 0.590
Cd2 0.333 0.667 0.910
Cd3 0.667 0.333 0.090
Cd4 0.667 0.333 0.410

Raw total energy = -2.503 eV/atom
Symmetry = P6_3/mmc
Size of the total moment = 0.0 μB per formula unit

Record 5
Computed, not measured: crystalline HoTm3In2B2 at its relaxed geometry at the GGA-PBE level of DFT.

Cell lengths 3.575, 3.575, 16.784 Å; angles 90.00, 90.00, 120.00 degrees
Atoms (fractional coordinates):
Ho1 0.000 0.000 0.000
Tm1 0.000 0.000 0.682
Tm2 0.333 0.667 0.184
Tm3 0.333 0.667 0.500
In1 0.000 0.000 0.342
In2 0.333 0.667 0.840
B1 0.667 0.333 0.093
B2 0.667 0.333 0.591

Raw total energy = -4.741 eV/atom
Symmetry = P3m1
Size of the total moment = 0.0 μB per formula unit

Record 6
Computed, not measured: crystalline Cu2W4CN at its relaxed geometry at the GGA-PBE level of DFT.

Cell lengths 2.865, 2.865, 14.335 Å; angles 90.00, 90.00, 120.00 degrees
Atoms (fractional coordinates):
Cu1 0.333 0.667 0.252
Cu2 0.667 0.333 0.748
W1 0.333 0.667 0.593
W2 0.333 0.667 0.901
W3 0.667 0.333 0.099
W4 0.667 0.333 0.407
C1 0.000 0.000 0.500
N1 0.000 0.000 0.000

Raw total energy = -9.325 eV/atom
Symmetry = P-3m1
Size of the total moment = 0.0 μB per formula unit